TlVGaO4 | PBE with a Hubbard U | optimized geometry

a b c (Å): 6.277 6.259 7.342
angles (deg): 90.00 108.27 90.00
Element x y z (fractional)
1 Tl 0.058 0.250 0.396
2 Tl 0.942 0.750 0.604
3 V 0.363 0.750 0.138
4 V 0.637 0.250 0.862
5 Ga 0.384 0.250 0.100
6 Ga 0.616 0.750 0.900
7 O 0.286 0.014 0.207
8 O 0.286 0.486 0.207
9 O 0.304 0.750 0.876
10 O 0.336 0.250 0.832
11 O 0.664 0.750 0.168
12 O 0.696 0.250 0.124
13 O 0.714 0.514 0.793
14 O 0.714 0.986 0.793

Results
Density of states at the Fermi level = 0.00 states/eV/atom
E = -6.21 eV/atom
Total moment = 2.00 Bohr magnetons per cell
Space-group type = P2_1/m